{
  "formula": "Ta2NbOs3",
  "functional": "GGA-PBE",
  "state": "relaxed",
  "formation_energy_ev_per_atom": -0.236,
  "dft_energy_ev_per_cell": -68.88,
  "lattice": [[3.064, 0.000, 0.000], [0.000, 3.064, 0.000], [0.000, 0.000, 10.412]],
  "species": ["Os", "Os", "Os", "Nb", "Ta", "Ta"],
  "fractional_positions": [[0.000, 0.000, 0.000], [0.000, 0.000, 0.678], [0.000, 0.000, 0.322], [0.500, 0.500, 0.500], [0.500, 0.500, 0.834], [0.500, 0.500, 0.166]]
}

=====

{
  "formula": "Ta4Nb2Os",
  "functional": "GGA-PBE",
  "state": "relaxed",
  "formation_energy_ev_per_atom": 0.197,
  "e_above_lowest_polymorph_mev_per_atom": 0.0,
  "dft_energy_ev_per_cell": -77.40,
  "lattice": [[2.756, 0.000, 0.000], [0.000, 7.317, -0.058], [-1.378, -3.592, 6.296]],
  "species": ["Ta", "Ta", "Ta", "Ta", "Nb", "Nb", "Os"],
  "fractional_positions": [[0.360, 0.585, 0.720], [0.640, 0.415, 0.280], [0.071, 0.712, 0.142], [0.929, 0.288, 0.858], [0.215, 0.145, 0.431], [0.785, 0.855, 0.569], [0.000, 0.000, 0.000]]
}

=====

{
  "formula": "TaNb3Os2",
  "functional": "GGA-PBE",
  "state": "relaxed",
  "formation_energy_ev_per_atom": -0.207,
  "dft_energy_ev_per_cell": -131.53,
  "lattice": [[3.206, 0.000, 0.000], [0.000, 4.564, 0.000], [0.000, 0.000, 13.764]],
  "species": ["Nb", "Nb", "Nb", "Nb", "Nb", "Nb", "Os", "Os", "Os", "Os", "Ta", "Ta"],
  "fractional_positions": [[0.500, 0.500, 0.332], [0.500, 0.500, 0.000], [0.500, 0.000, 0.500], [0.500, 0.500, 0.668], [0.500, 0.000, 0.832], [0.500, 0.000, 0.168], [0.000, 0.000, 0.331], [0.000, 0.000, 0.669], [0.000, 0.500, 0.169], [0.000, 0.500, 0.831], [0.000, 0.000, 0.000], [0.000, 0.500, 0.500]]
}

=====

{
  "formula": "Ta4NbOs2",
  "functional": "GGA-PBE",
  "state": "relaxed",
  "formation_energy_ev_per_atom": -0.028,
  "dft_energy_ev_per_cell": -80.14,
  "lattice": [[5.203, 0.053, -1.799], [-2.578, 4.475, -1.908], [0.030, -0.053, 5.505]],
  "species": ["Ta", "Ta", "Ta", "Ta", "Os", "Os", "Nb"],
  "fractional_positions": [[0.500, 0.000, 0.000], [0.000, 0.500, 0.000], [0.500, 0.500, 0.500], [0.000, 0.000, 0.500], [0.500, 0.000, 0.500], [0.500, 0.500, 0.000], [0.000, 0.000, 0.000]]
}

=====

{
  "formula": "TaNbOs2",
  "functional": "GGA-PBE",
  "state": "relaxed",
  "formation_energy_ev_per_atom": 1.335,
  "dft_energy_ev_per_cell": -78.09,
  "lattice": [[5.819, 0.000, 0.000], [0.000, 5.819, 0.000], [2.909, 2.909, 5.764]],
  "species": ["Ta", "Ta", "Os", "Os", "Os", "Os", "Nb", "Nb"],
  "fractional_positions": [[0.750, 0.250, 0.500], [0.000, 0.000, 0.000], [0.375, 0.375, 0.750], [0.125, 0.625, 0.250], [0.625, 0.125, 0.250], [0.875, 0.875, 0.750], [0.250, 0.750, 0.500], [0.500, 0.500, 0.000]]
}

=====

{
  "formula": "TaNb2Os",
  "functional": "GGA-PBE",
  "state": "relaxed",
  "formation_energy_ev_per_atom": -0.287,
  "e_above_lowest_polymorph_mev_per_atom": 0.0,
  "dft_energy_ev_per_cell": -44.37,
  "lattice": [[3.970, -0.018, -2.271], [-2.631, 3.741, -0.030], [-0.013, 0.018, 4.573]],
  "species": ["Nb", "Nb", "Os", "Ta"],
  "fractional_positions": [[0.625, 0.063, 0.688], [0.125, 0.813, 0.938], [0.125, 0.312, 0.438], [0.625, 0.562, 0.187]]
}

=====

{
  "formula": "TaNb8Os2",
  "functional": "GGA-PBE",
  "state": "relaxed",
  "formation_energy_ev_per_atom": 0.049,
  "dft_energy_ev_per_cell": -114.33,
  "lattice": [[5.224, 0.141, 0.107], [0.350, 7.354, 2.239], [0.350, 4.136, 6.480]],
  "species": ["Nb", "Nb", "Nb", "Nb", "Nb", "Nb", "Nb", "Nb", "Os", "Os", "Ta"],
  "fractional_positions": [[0.109, 0.787, 0.787], [0.112, 0.416, 0.416], [0.891, 0.213, 0.213], [0.888, 0.584, 0.584], [0.617, 0.153, 0.655], [0.383, 0.847, 0.345], [0.383, 0.345, 0.847], [0.617, 0.655, 0.153], [0.618, 0.742, 0.742], [0.382, 0.258, 0.258], [0.000, 0.000, 0.000]]
}

=====

{
  "formula": "TaNb2Os2",
  "functional": "GGA-PBE",
  "state": "relaxed",
  "formation_energy_ev_per_atom": 0.357,
  "e_above_lowest_polymorph_mev_per_atom": 312.7,
  "dft_energy_ev_per_cell": -52.67,
  "lattice": [[4.218, 0.000, 0.000], [0.000, 4.218, 0.000], [2.109, 2.109, 5.375]],
  "species": ["Os", "Os", "Nb", "Nb", "Ta"],
  "fractional_positions": [[0.612, 0.612, 0.776], [0.388, 0.388, 0.224], [0.250, 0.750, 0.500], [0.750, 0.250, 0.500], [0.000, 0.000, 0.000]]
}

=====

{
  "formula": "TaNbOs5",
  "functional": "GGA-PBE",
  "state": "relaxed",
  "formation_energy_ev_per_atom": 0.164,
  "dft_energy_ev_per_cell": -153.84,
  "lattice": [[4.855, -0.028, -1.145], [-0.887, 4.774, -1.145], [0.133, 0.159, 9.518]],
  "species": ["Ta", "Ta", "Os", "Os", "Os", "Os", "Os", "Os", "Os", "Os", "Os", "Os", "Nb", "Nb"],
  "fractional_positions": [[0.235, 0.265, 0.750], [0.765, 0.735, 0.250], [0.122, 0.378, 0.250], [0.725, 0.428, 0.963], [0.555, 0.141, 0.144], [0.359, 0.945, 0.356], [0.445, 0.859, 0.856], [0.878, 0.622, 0.750], [0.275, 0.572, 0.037], [0.072, 0.775, 0.537], [0.641, 0.055, 0.644], [0.928, 0.225, 0.463], [0.500, 0.500, 0.500], [0.000, 0.000, 0.000]]
}

=====

{
  "formula": "Ta3NbOs2",
  "functional": "GGA-PBE",
  "state": "relaxed",
  "formation_energy_ev_per_atom": -0.325,
  "dft_energy_ev_per_cell": -140.07,
  "lattice": [[-0.788, -2.800, 1.341], [3.437, 0.448, 2.953], [-8.353, 6.533, 8.733]],
  "species": ["Ta", "Ta", "Ta", "Ta", "Ta", "Ta", "Os", "Os", "Os", "Os", "Nb", "Nb"],
  "fractional_positions": [[0.500, 0.500, 0.000], [0.500, 0.500, 0.333], [0.500, 0.000, 0.500], [0.500, 0.000, 0.833], [0.500, 0.000, 0.167], [0.500, 0.500, 0.667], [0.000, 0.500, 0.831], [0.000, 0.500, 0.169], [0.000, 0.000, 0.669], [0.000, 0.000, 0.331], [0.000, 0.000, 0.000], [0.000, 0.500, 0.500]]
}

=====

{
  "formula": "Ta4Nb2Os",
  "functional": "GGA-PBE",
  "state": "relaxed",
  "formation_energy_ev_per_atom": 1.219,
  "e_above_lowest_polymorph_mev_per_atom": 1022.7,
  "dft_energy_ev_per_cell": -70.24,
  "lattice": [[-4.635, 1.247, 0.409], [-1.306, -4.236, -1.885], [-3.149, -4.167, 5.390]],
  "species": ["Nb", "Nb", "Ta", "Ta", "Ta", "Ta", "Os"],
  "fractional_positions": [[0.382, 0.382, 0.235], [0.618, 0.618, 0.765], [0.500, 0.000, 0.000], [0.000, 0.500, 0.000], [0.189, 0.189, 0.623], [0.811, 0.811, 0.377], [0.000, 0.000, 0.000]]
}

=====

{
  "formula": "Ta4NbOs3",
  "functional": "GGA-PBE",
  "state": "relaxed",
  "formation_energy_ev_per_atom": -0.301,
  "dft_energy_ev_per_cell": -93.58,
  "lattice": [[-0.384, -1.765, -2.688], [2.321, -3.390, 1.895], [-7.691, -3.401, 3.334]],
  "species": ["Ta", "Ta", "Ta", "Ta", "Os", "Os", "Os", "Nb"],
  "fractional_positions": [[0.000, 0.000, 0.500], [0.000, 0.500, 0.750], [0.000, 0.500, 0.250], [0.000, 0.000, 0.000], [0.500, 0.500, 0.500], [0.500, 0.000, 0.257], [0.500, 0.000, 0.743], [0.500, 0.500, 0.000]]
}

=====

{
  "formula": "TaNb2Os2",
  "functional": "GGA-PBE",
  "state": "relaxed",
  "formation_energy_ev_per_atom": 0.044,
  "e_above_lowest_polymorph_mev_per_atom": 0.0,
  "dft_energy_ev_per_cell": -108.46,
  "lattice": [[7.482, 0.000, 0.000], [0.000, 7.482, 0.000], [0.000, 0.000, 3.089]],
  "species": ["Os", "Os", "Os", "Os", "Ta", "Ta", "Nb", "Nb", "Nb", "Nb"],
  "fractional_positions": [[0.637, 0.137, 0.000], [0.863, 0.637, 0.000], [0.137, 0.363, 0.000], [0.363, 0.863, 0.000], [0.000, 0.000, 0.000], [0.500, 0.500, 0.000], [0.836, 0.336, 0.500], [0.664, 0.836, 0.500], [0.164, 0.664, 0.500], [0.336, 0.164, 0.500]]
}

=====

{
  "formula": "TaNb4Os",
  "functional": "GGA-PBE",
  "state": "relaxed",
  "formation_energy_ev_per_atom": 0.336,
  "e_above_lowest_polymorph_mev_per_atom": 255.7,
  "dft_energy_ev_per_cell": -122.69,
  "lattice": [[4.722, 0.000, 0.000], [0.000, 5.399, 0.000], [-2.361, 0.000, 9.225]],
  "species": ["Nb", "Nb", "Nb", "Nb", "Nb", "Nb", "Nb", "Nb", "Os", "Os", "Ta", "Ta"],
  "fractional_positions": [[0.557, 0.429, 0.115], [0.128, 0.736, 0.255], [0.443, 0.929, 0.885], [0.709, 0.547, 0.418], [0.872, 0.236, 0.745], [0.285, 0.555, 0.569], [0.715, 0.055, 0.431], [0.291, 0.047, 0.582], [0.418, 0.422, 0.837], [0.582, 0.922, 0.163], [0.867, 0.744, 0.734], [0.133, 0.244, 0.266]]
}

=====

{
  "formula": "TaNb2Os",
  "functional": "GGA-PBE",
  "state": "relaxed",
  "formation_energy_ev_per_atom": -0.193,
  "e_above_lowest_polymorph_mev_per_atom": 93.7,
  "dft_energy_ev_per_cell": -43.99,
  "lattice": [[0.079, 2.474, -1.498], [-5.211, -0.789, 0.362], [2.478, 1.512, 4.448]],
  "species": ["Nb", "Nb", "Ta", "Os"],
  "fractional_positions": [[0.750, 0.634, 0.500], [0.250, 0.134, 0.500], [0.250, 0.634, 0.000], [0.750, 0.134, 0.000]]
}

=====

{
  "formula": "Ta6Nb5Os",
  "functional": "GGA-PBE",
  "state": "relaxed",
  "formation_energy_ev_per_atom": -0.120,
  "dft_energy_ev_per_cell": -134.13,
  "lattice": [[4.483, 0.019, -1.308], [-0.903, 5.781, -3.010], [-0.094, 0.417, 8.021]],
  "species": ["Ta", "Ta", "Ta", "Ta", "Ta", "Ta", "Nb", "Nb", "Nb", "Nb", "Nb", "Os"],
  "fractional_positions": [[0.836, 0.083, 0.673], [0.164, 0.410, 0.327], [0.836, 0.590, 0.673], [0.500, 0.243, 0.000], [0.164, 0.917, 0.327], [0.500, 0.757, 0.000], [0.665, 0.665, 0.330], [0.000, 0.500, 0.000], [0.335, 0.335, 0.670], [0.668, 0.168, 0.336], [0.332, 0.832, 0.664], [0.000, 0.000, 0.000]]
}

=====

{
  "formula": "TbTaNbOs2",
  "functional": "GGA-PBE",
  "state": "relaxed",
  "formation_energy_ev_per_atom": -0.282,
  "dft_energy_ev_per_cell": -50.42,
  "lattice": [[-0.788, 2.194, -3.718], [2.298, -2.987, -2.250], [-5.217, -2.474, 2.236]],
  "species": ["Os", "Os", "Ta", "Nb", "Tb"],
  "fractional_positions": [[0.618, 0.618, 0.236], [0.382, 0.382, 0.764], [0.250, 0.750, 0.500], [0.750, 0.250, 0.500], [0.000, 0.000, 0.000]]
}

=====

{
  "formula": "TaNbTcOs",
  "functional": "GGA-PBE",
  "state": "relaxed",
  "formation_energy_ev_per_atom": -0.331,
  "dft_energy_ev_per_cell": -44.84,
  "lattice": [[4.509, 0.000, 0.000], [2.255, 3.905, 0.000], [2.255, 1.302, 3.682]],
  "species": ["Nb", "Os", "Ta", "Tc"],
  "fractional_positions": [[0.500, 0.500, 0.500], [0.750, 0.750, 0.750], [0.000, 0.000, 0.000], [0.250, 0.250, 0.250]]
}

=====

{
  "formula": "ThTaNbOs2",
  "functional": "GGA-PBE",
  "state": "relaxed",
  "formation_energy_ev_per_atom": -0.285,
  "dft_energy_ev_per_cell": -53.23,
  "lattice": [[-0.147, -1.610, 4.108], [1.464, -3.895, -1.474], [4.439, 4.361, -0.504]],
  "species": ["Nb", "Os", "Os", "Th", "Ta"],
  "fractional_positions": [[0.750, 0.250, 0.500], [0.380, 0.380, 0.760], [0.620, 0.620, 0.240], [0.000, 0.000, 0.000], [0.250, 0.750, 0.500]]
}

=====

{
  "formula": "TaTiNbOs",
  "functional": "GGA-PBE",
  "state": "relaxed",
  "formation_energy_ev_per_atom": -0.328,
  "e_above_lowest_polymorph_mev_per_atom": 0.0,
  "dft_energy_ev_per_cell": -42.36,
  "lattice": [[4.528, 0.000, 0.000], [2.264, 3.921, 0.000], [2.264, 1.307, 3.697]],
  "species": ["Nb", "Os", "Ta", "Ti"],
  "fractional_positions": [[0.250, 0.250, 0.250], [0.750, 0.750, 0.750], [0.500, 0.500, 0.500], [0.000, 0.000, 0.000]]
}

=====

{
  "formula": "TaTiNbOs",
  "functional": "GGA-PBE",
  "state": "relaxed",
  "formation_energy_ev_per_atom": -0.306,
  "e_above_lowest_polymorph_mev_per_atom": 22.3,
  "dft_energy_ev_per_cell": -42.27,
  "lattice": [[-0.288, -2.793, -1.480], [0.642, -1.507, 2.718], [-6.423, -0.109, 1.456]],
  "species": ["Ti", "Os", "Ta", "Nb"],
  "fractional_positions": [[0.500, 0.500, 0.117], [0.000, 0.000, 0.354], [0.500, 0.500, 0.594], [0.000, 0.000, 0.862]]
}

=====

{
  "formula": "UTaNbOs",
  "functional": "GGA-PBE",
  "state": "relaxed",
  "formation_energy_ev_per_atom": 0.135,
  "dft_energy_ev_per_cell": -43.90,
  "lattice": [[4.659, 0.000, 0.000], [2.330, 4.035, 0.000], [2.330, 1.345, 3.804]],
  "species": ["Nb", "U", "Os", "Ta"],
  "fractional_positions": [[0.750, 0.750, 0.750], [0.000, 0.000, 0.000], [0.500, 0.500, 0.500], [0.250, 0.250, 0.250]]
}

=====

{
  "formula": "TaNbOsW",
  "functional": "GGA-PBE",
  "state": "relaxed",
  "formation_energy_ev_per_atom": -0.234,
  "dft_energy_ev_per_cell": -47.04,
  "lattice": [[-3.892, -0.530, 2.285], [-3.639, -1.749, -2.085], [-1.452, -4.169, 1.079]],
  "species": ["Ta", "W", "Os", "Nb"],
  "fractional_positions": [[0.250, 0.250, 0.250], [0.000, 0.000, 0.000], [0.500, 0.500, 0.500], [0.750, 0.750, 0.750]]
}

=====

{
  "formula": "ZrTaNbOs",
  "functional": "GGA-PBE",
  "state": "relaxed",
  "formation_energy_ev_per_atom": -0.238,
  "dft_energy_ev_per_cell": -42.65,
  "lattice": [[-0.373, -3.690, 2.801], [0.124, -4.291, -1.781], [3.688, -2.725, 0.758]],
  "species": ["Ta", "Zr", "Nb", "Os"],
  "fractional_positions": [[0.000, 0.000, 0.000], [0.500, 0.500, 0.500], [0.750, 0.750, 0.750], [0.250, 0.250, 0.250]]
}

=====

{
  "formula": "TbNbOs",
  "functional": "GGA-PBE",
  "state": "relaxed",
  "formation_energy_ev_per_atom": -0.210,
  "e_above_lowest_polymorph_mev_per_atom": 0.0,
  "dft_energy_ev_per_cell": -53.12,
  "lattice": [[0.654, -2.300, 5.244], [-1.959, -4.958, 1.237], [3.621, -3.987, 0.967]],
  "species": ["Nb", "Nb", "Os", "Os", "Tb", "Tb"],
  "fractional_positions": [[0.500, 0.500, 0.000], [0.500, 0.000, 0.500], [0.000, 0.000, 0.000], [0.500, 0.000, 0.000], [0.887, 0.363, 0.363], [0.113, 0.637, 0.637]]
}

=====

{
  "formula": "Tb2NbOs",
  "functional": "GGA-PBE",
  "state": "relaxed",
  "formation_energy_ev_per_atom": 0.619,
  "dft_energy_ev_per_cell": -28.09,
  "lattice": [[3.195, 0.000, 0.000], [1.597, 2.767, 0.000], [1.597, 0.922, 10.352]],
  "species": ["Tb", "Tb", "Nb", "Os"],
  "fractional_positions": [[0.903, 0.903, 0.291], [0.097, 0.097, 0.709], [0.000, 0.000, 0.000], [0.500, 0.500, 0.500]]
}